1.
Gd2ThMg: relaxed, GGA-PBE.

CIF file:
```
data_Gd2ThMg
_chemical_formula_sum 'Gd2 Th1 Mg1'
_space_group_name_H-M_alt 'P 4/m m m'
_space_group_IT_number 123
_space_group_name_Hall '-P 4 2'
_cell_length_a 3.5970
_cell_length_b 3.5970
_cell_length_c 9.3086
_cell_angle_alpha 90.00
_cell_angle_beta 90.00
_cell_angle_gamma 90.00
loop_
_atom_site_label
_atom_site_type_symbol
_atom_site_fract_x
_atom_site_fract_y
_atom_site_fract_z
_atom_site_occupancy
Gd1 Gd 0.0000 0.0000 0.2409 1
Th1 Th 0.5000 0.5000 0.5000 1
Mg1 Mg 0.5000 0.5000 0.0000 1
```

Results
Calculated formation energy (eV/atom): -0.05
Raw total energy (eV/atom): -9.3406
Excess energy over the best structure of this formula in the dataset (meV per atom): 0


2.
Ti3MoS: relaxed, GGA-PBE.

CIF file:
```
data_Ti3MoS
_chemical_formula_sum 'Ti12 Mo4 S4'
_space_group_name_H-M_alt 'C 1 2/m 1'
_space_group_IT_number 12
_cell_length_a 9.9121
_cell_length_b 4.6969
_cell_length_c 7.6664
_cell_angle_alpha 90.00
_cell_angle_beta 112.73
_cell_angle_gamma 90.00
loop_
_space_group_symop_operation_xyz
'x,y,z'
'-x,-y,-z'
'-x,y,-z'
'x,-y,z'
'x+1/2,y+1/2,z'
'-x+1/2,-y+1/2,-z'
'-x+1/2,y+1/2,-z'
'x+1/2,-y+1/2,z'
loop_
_atom_site_label
_atom_site_type_symbol
_atom_site_fract_x
_atom_site_fract_y
_atom_site_fract_z
_atom_site_occupancy
Ti1 Ti 0.0982 0.0000 0.3828 1
Ti2 Ti 0.1279 0.5000 0.7535 1
Ti3 Ti 0.1418 0.5000 0.1383 1
Mo1 Mo 0.1204 0.0000 0.9540 1
S1 S 0.1359 0.5000 0.4440 1
```

Results
Raw total energy (eV/atom): -8.2932
Excess energy over the best structure of this formula in the dataset (meV per atom): 0
E_form (uncorrected) (eV/atom): -0.565


3.
Ga4I3Cl: relaxed, GGA-PBE.

CIF file:
```
data_Ga4I3Cl
_chemical_formula_sum 'Ga8 I6 Cl2'
_space_group_name_H-M_alt 'P 1 2/c 1'
_space_group_IT_number 13
_cell_length_a 7.9168
_cell_length_b 9.2669
_cell_length_c 8.0070
_cell_angle_alpha 90.00
_cell_angle_beta 109.53
_cell_angle_gamma 90.00
loop_
_space_group_symop_operation_xyz
'x,y,z'
'-x,-y,-z'
'-x,y,-z+1/2'
'x,-y,z+1/2'
loop_
_atom_site_label
_atom_site_type_symbol
_atom_site_fract_x
_atom_site_fract_y
_atom_site_fract_z
_atom_site_occupancy
Ga1 Ga 0.2350 0.1214 0.0113 1
Ga2 Ga 0.2365 0.3604 0.4836 1
I1 I 0.0000 0.3743 0.7500 1
I2 I 0.5000 0.1239 0.7500 1
I3 I 0.5000 0.3653 0.2500 1
Cl1 Cl 0.0000 0.1444 0.2500 1
```

Results
Raw total energy (eV/atom): -2.7397
E_form (uncorrected) (eV/atom): -0.414


4.
La2ZrAg2: relaxed, GGA-PBE.

CIF file:
```
data_La2ZrAg2
_chemical_formula_sum 'La4 Zr2 Ag4'
_space_group_name_H-M_alt 'P 4/m b m'
_space_group_IT_number 127
_space_group_name_Hall '-P 4 2ab'
_cell_length_a 8.5235
_cell_length_b 8.5235
_cell_length_c 3.7755
_cell_angle_alpha 90.00
_cell_angle_beta 90.00
_cell_angle_gamma 90.00
loop_
_atom_site_label
_atom_site_type_symbol
_atom_site_fract_x
_atom_site_fract_y
_atom_site_fract_z
_atom_site_occupancy
La1 La 0.1797 0.3203 0.0000 1
Zr1 Zr 0.0000 0.0000 0.5000 1
Ag1 Ag 0.1207 0.6207 0.5000 1
```

Results
Calculated formation energy (eV/atom): 0.00
Raw total energy (eV/atom): -4.8200
Excess energy over the best structure of this formula in the dataset (meV per atom): 0


5.
Tm5MnRh6: relaxed, GGA-PBE.

CIF file:
```
data_Tm5MnRh6
_chemical_formula_sum 'Tm5 Mn1 Rh6'
_space_group_name_H-M_alt 'P 1 2/m 1'
_space_group_IT_number 10
_cell_length_a 4.7018
_cell_length_b 6.6479
_cell_length_c 7.4396
_cell_angle_alpha 90.00
_cell_angle_beta 108.31
_cell_angle_gamma 90.00
loop_
_space_group_symop_operation_xyz
'x,y,z'
'-x,-y,-z'
'-x,y,-z'
'x,-y,z'
loop_
_atom_site_label
_atom_site_type_symbol
_atom_site_fract_x
_atom_site_fract_y
_atom_site_fract_z
_atom_site_occupancy
Tm1 Tm 0.0000 0.0000 0.0000 1
Tm2 Tm 0.3332 0.0000 0.6666 1
Tm3 Tm 0.3394 0.5000 0.6790 1
Mn1 Mn 0.0000 0.5000 0.0000 1
Rh1 Rh 0.1648 0.2546 0.3292 1
Rh2 Rh 0.5000 0.2529 0.0000 1
```

Results
Calculated formation energy (eV/atom): -0.83
Raw total energy (eV/atom): -7.1354


6.
La3Mg2Cu4: relaxed, GGA-PBE.

CIF file:
```
data_La3Mg2Cu4
_chemical_formula_sum 'La6 Mg4 Cu8'
_space_group_name_H-M_alt 'C 1 2/m 1'
_space_group_IT_number 12
_cell_length_a 11.6282
_cell_length_b 4.4906
_cell_length_c 8.8078
_cell_angle_alpha 90.00
_cell_angle_beta 115.96
_cell_angle_gamma 90.00
loop_
_space_group_symop_operation_xyz
'x,y,z'
'-x,-y,-z'
'-x,y,-z'
'x,-y,z'
'x+1/2,y+1/2,z'
'-x+1/2,-y+1/2,-z'
'-x+1/2,y+1/2,-z'
'x+1/2,-y+1/2,z'
loop_
_atom_site_label
_atom_site_type_symbol
_atom_site_fract_x
_atom_site_fract_y
_atom_site_fract_z
_atom_site_occupancy
La1 La 0.0000 0.0000 0.0000 1
La2 La 0.1287 0.5000 0.7010 1
Mg1 Mg 0.1746 0.5000 0.3451 1
Cu1 Cu 0.0718 0.0000 0.4167 1
Cu2 Cu 0.2294 0.5000 0.0639 1
```

Results
Calculated formation energy (eV/atom): -0.15
Raw total energy (eV/atom): -3.9698


7.
LiZr2Cu: relaxed, GGA-PBE.

CIF file:
```
data_LiZr2Cu
_chemical_formula_sum 'Li2 Zr4 Cu2'
_space_group_name_H-M_alt 'C 1 m 1'
_space_group_IT_number 8
_cell_length_a 10.7530
_cell_length_b 3.2116
_cell_length_c 4.6582
_cell_angle_alpha 90.00
_cell_angle_beta 115.57
_cell_angle_gamma 90.00
loop_
_space_group_symop_operation_xyz
'x,y,z'
'x,-y,z'
'x+1/2,y+1/2,z'
'x+1/2,-y+1/2,z'
loop_
_atom_site_label
_atom_site_type_symbol
_atom_site_fract_x
_atom_site_fract_y
_atom_site_fract_z
_atom_site_occupancy
Li1 Li 0.0000 0.0000 0.0000 1
Zr1 Zr 0.0526 0.5000 0.5525 1
Zr2 Zr 0.2834 0.5000 0.2848 1
Cu1 Cu 0.3059 0.0000 0.8076 1
```

Results
Calculated formation energy (eV/atom): 0.09
Raw total energy (eV/atom): -5.6857
Excess energy over the best structure of this formula in the dataset (meV per atom): 77


8.
PmNdZnPt: relaxed, GGA-PBE.

CIF file:
```
data_PmNdZnPt
_chemical_formula_sum 'Pm4 Nd4 Zn4 Pt4'
_space_group_name_H-M_alt 'F -4 3 m'
_space_group_IT_number 216
_space_group_name_Hall 'F -4 2 3'
_cell_length_a 7.2639
_cell_length_b 7.2639
_cell_length_c 7.2639
_cell_angle_alpha 90.00
_cell_angle_beta 90.00
_cell_angle_gamma 90.00
loop_
_atom_site_label
_atom_site_type_symbol
_atom_site_fract_x
_atom_site_fract_y
_atom_site_fract_z
_atom_site_occupancy
Pm1 Pm 0.0000 0.0000 0.0000 1
Nd1 Nd 0.0000 0.0000 0.5000 1
Zn1 Zn 0.2500 0.2500 0.2500 1
Pt1 Pt 0.2500 0.2500 0.7500 1
```

Results
Calculated formation energy (eV/atom): -0.68
Raw total energy (eV/atom): -4.8849
Excess energy over the best structure of this formula in the dataset (meV per atom): 57


9.
HoGaO: relaxed, GGA-PBE.

CIF file:
```
data_HoGaO
_chemical_formula_sum 'Ho2 Ga2 O2'
_space_group_name_H-M_alt 'P 4/n m m'
_space_group_IT_number 129
_cell_length_a 3.1921
_cell_length_b 3.1921
_cell_length_c 9.8196
_cell_angle_alpha 90.00
_cell_angle_beta 90.00
_cell_angle_gamma 90.00
loop_
_space_group_symop_operation_xyz
'x,y,z'
'-x,-y,-z'
'-y+1/2,x,z'
'y+1/2,-x,-z'
'-x+1/2,-y+1/2,z'
'x+1/2,y+1/2,-z'
'y,-x+1/2,z'
'-y,x+1/2,-z'
'x+1/2,-y,-z'
'-x+1/2,y,z'
'-y,-x,-z'
'y,x,z'
'-x,y+1/2,-z'
'x,-y+1/2,z'
'y+1/2,x+1/2,-z'
'-y+1/2,-x+1/2,z'
loop_
_atom_site_label
_atom_site_type_symbol
_atom_site_fract_x
_atom_site_fract_y
_atom_site_fract_z
_atom_site_occupancy
Ho1 Ho 0.2500 0.2500 0.1479 1
Ga1 Ga 0.2500 0.2500 0.5920 1
O1 O 0.2500 0.2500 0.9117 1
```

Results
Raw total energy (eV/atom): -6.1614
E_form (uncorrected) (eV/atom): -1.974


10.
YV2Cu2: relaxed, GGA-PBE.

CIF file:
```
data_YV2Cu2
_chemical_formula_sum 'Y2 V4 Cu4'
_space_group_name_H-M_alt 'P 4/m b m'
_space_group_IT_number 127
_space_group_name_Hall '-P 4 2ab'
_cell_length_a 7.4247
_cell_length_b 7.4247
_cell_length_c 2.9789
_cell_angle_alpha 90.00
_cell_angle_beta 90.00
_cell_angle_gamma 90.00
loop_
_atom_site_label
_atom_site_type_symbol
_atom_site_fract_x
_atom_site_fract_y
_atom_site_fract_z
_atom_site_occupancy
Y1 Y 0.0000 0.0000 0.0000 1
V1 V 0.0912 0.4088 0.0000 1
Cu1 Cu 0.2001 0.7001 0.5000 1
```

Results
Calculated formation energy (eV/atom): 0.26
Raw total energy (eV/atom): -6.3181
Excess energy over the best structure of this formula in the dataset (meV per atom): 0


11.
CsOs3Cl: relaxed, GGA-PBE.

CIF file:
```
data_CsOs3Cl
_chemical_formula_sum 'Cs1 Os3 Cl1'
_space_group_name_H-M_alt 'P m -3 m'
_space_group_IT_number 221
_space_group_name_Hall '-P 4 2 3'
_cell_length_a 4.6291
_cell_length_b 4.6291
_cell_length_c 4.6291
_cell_angle_alpha 90.00
_cell_angle_beta 90.00
_cell_angle_gamma 90.00
loop_
_atom_site_label
_atom_site_type_symbol
_atom_site_fract_x
_atom_site_fract_y
_atom_site_fract_z
_atom_site_occupancy
Cs1 Cs 0.0000 0.0000 0.0000 1
Os1 Os 0.0000 0.5000 0.5000 1
Cl1 Cl 0.5000 0.5000 0.5000 1
```

Results
Raw total energy (eV/atom): -4.7148
Excess energy over the best structure of this formula in the dataset (meV per atom): 0
E_form (uncorrected) (eV/atom): 2.563


12.
CaPr2Ti2ZnO9: relaxed, GGA-PBE.

CIF file:
```
data_CaPr2Ti2ZnO9
_chemical_formula_sum 'Ca4 Pr8 Ti8 Zn4 O36'
_space_group_name_H-M_alt 'P 1'
_space_group_IT_number 1
_cell_length_a 5.5034
_cell_length_b 5.6855
_cell_length_c 23.5179
_cell_angle_alpha 89.93
_cell_angle_beta 89.82
_cell_angle_gamma 89.68
loop_
_space_group_symop_operation_xyz
'x,y,z'
loop_
_atom_site_label
_atom_site_type_symbol
_atom_site_fract_x
_atom_site_fract_y
_atom_site_fract_z
_atom_site_occupancy
Ca1 Ca 0.0000 0.0000 0.0000 1
Ca2 Ca 0.0004 0.0013 0.3304 1
Ca3 Ca 0.5003 0.6058 0.5035 1
Ca4 Ca 0.5015 0.6042 0.1730 1
Pr1 Pr 0.0106 0.9956 0.6670 1
Pr2 Pr 0.4784 0.4944 0.6655 1
Pr3 Pr 0.4812 0.4869 0.3308 1
Pr4 Pr 0.4818 0.4858 0.0010 1
Pr5 Pr 0.5103 0.6025 0.8363 1
Pr6 Pr 0.9793 0.1006 0.8365 1
Pr7 Pr 0.9815 0.1030 0.1716 1
Pr8 Pr 0.9823 0.1032 0.5012 1
Ti1 Ti 0.0020 0.5500 0.9192 1
Ti2 Ti 0.4690 0.0332 0.0843 1
Ti3 Ti 0.4692 0.0340 0.4145 1
Ti4 Ti 0.4956 0.0491 0.7513 1
Ti5 Ti 0.9711 0.5576 0.0873 1
Ti6 Ti 0.9727 0.5580 0.4186 1
Ti7 Ti 0.9864 0.5525 0.5833 1
Ti8 Ti 0.9950 0.5553 0.2511 1
Zn1 Zn 0.4924 0.0448 0.9212 1
Zn2 Zn 0.4927 0.0437 0.2517 1
Zn3 Zn 0.4948 0.0473 0.5818 1
Zn4 Zn 0.9951 0.5480 0.7513 1
O1 O 0.0840 0.5269 0.1672 1
O2 O 0.0855 0.5202 0.8394 1
O3 O 0.0861 0.5273 0.4973 1
O4 O 0.1873 0.2636 0.9373 1
O5 O 0.1883 0.2627 0.5979 1
O6 O 0.1883 0.2637 0.2661 1
O7 O 0.2071 0.2518 0.0709 1
O8 O 0.2073 0.2520 0.4013 1
O9 O 0.2103 0.2472 0.7349 1
O10 O 0.2801 0.7445 0.5982 1
O11 O 0.2837 0.7394 0.9342 1
O12 O 0.2836 0.7401 0.2647 1
O13 O 0.2903 0.7559 0.0700 1
O14 O 0.2906 0.7568 0.4003 1
O15 O 0.3006 0.7633 0.7336 1
O16 O 0.4012 0.0207 0.8323 1
O17 O 0.4119 0.0225 0.4950 1
O18 O 0.4124 0.0233 0.1644 1
O19 O 0.5882 0.0774 0.6703 1
O20 O 0.5893 0.0742 0.3387 1
O21 O 0.5897 0.0726 0.0082 1
O22 O 0.6922 0.3318 0.7695 1
O23 O 0.7064 0.3554 0.9061 1
O24 O 0.7124 0.3506 0.1017 1
O25 O 0.7119 0.3573 0.5662 1
O26 O 0.7118 0.3577 0.2369 1
O27 O 0.7129 0.3514 0.4324 1
O28 O 0.7824 0.8511 0.7677 1
O29 O 0.7932 0.8371 0.1019 1
O30 O 0.7935 0.8378 0.4320 1
O31 O 0.7982 0.8313 0.9034 1
O32 O 0.8041 0.8359 0.2376 1
O33 O 0.8065 0.8402 0.5679 1
O34 O 0.9027 0.5742 0.6633 1
O35 O 0.9123 0.5767 0.0055 1
O36 O 0.9145 0.5746 0.3356 1
```

Results
Raw total energy (eV/atom): -7.8617
E_form (uncorrected) (eV/atom): -2.978


> Look up the raw total energy of the ninth one.

-6.1614 eV/atom